A plane-wave DFT calculation with PBE was carried out for a relaxed ErPu2Ge crystal.

Its calculated formation energy is 183 meV per atom. The value obtained for the energy above the lowest structure with this stoichiometry is 472 meV per atom. The value obtained for the calculated volume is 27.02 Å³ per atom. As for the magnetic moment: 3.05 μB/atom. The density of states at the Fermi level comes out at 45.656 states/eV/cell.

The space group is R-3m (No. 166, hexagonal axes) and the conventional cell measures 3.3440, 3.3440 and 33.4816 Å, with angles of 90.00, 90.00 and 120.00 degrees. The distinct sites, in fractional coordinates, are Er at (0.0000, 0.0000, 0.0000), Pu at (0.0000, 0.0000, 0.0982) and Ge at (0.0000, 0.0000, 0.5000).